VASP calculation (PBE-GGA) on a relaxed structure of TbPa2OsC4.

Cell and atoms, written as POSCAR:
```
TbPa2OsC4
1.0
1.776 -5.885 0.000
1.776 5.885 0.000
0.000 0.000 12.057
Tb Pa Os C
2 4 2 8
Cartesian
1.776 4.510 9.043 Tb
1.776 -4.510 3.014 Tb
1.776 1.568 6.540 Pa
1.776 1.568 11.545 Pa
1.776 -1.568 0.512 Pa
1.776 -1.568 5.517 Pa
1.776 4.146 3.014 Os
1.776 -4.146 9.043 Os
0.000 0.000 0.000 C
0.000 0.000 6.028 C
1.776 2.782 1.544 C
1.776 2.782 4.484 C
1.776 0.779 9.043 C
1.776 -0.779 3.014 C
1.776 -2.782 7.572 C
1.776 -2.782 10.513 C
```

* ΔH_f (0 K): -140 meV/atom
* magnetization: 0.000 μB per formula unit
* final energy: -9.1082 eV per atom
* D(E_F): 9.766 states/eV per cell
* symmetry: Cmcm, No. 63


VASP calculation (PBE-GGA) on a relaxed structure of Tb2PaOsC4.

Cell and atoms, written as POSCAR:
```
Tb2PaOsC4
1.0
1.745 -5.889 0.000
1.745 5.889 0.000
0.000 0.000 12.111
Tb Pa Os C
4 2 2 8
Cartesian
1.745 4.328 6.557 Tb
1.745 4.328 11.609 Tb
1.745 -4.328 0.502 Tb
1.745 -4.328 5.553 Tb
1.745 1.138 9.083 Pa
1.745 -1.138 3.028 Pa
1.745 1.871 3.028 Os
1.745 -1.871 9.083 Os
1.745 5.134 9.083 C
1.745 3.211 1.658 C
1.745 3.211 4.397 C
1.745 0.000 0.000 C
1.745 0.000 6.055 C
1.745 -3.211 7.714 C
1.745 -3.211 10.452 C
1.745 -5.134 3.028 C
```

* ΔH_f (0 K): -4 meV/atom
* magnetization: 0.000 μB per formula unit
* final energy: -8.3639 eV per atom
* D(E_F): 8.932 states/eV per cell
* symmetry: Cmcm, No. 63


VASP calculation (PBE-GGA) on a relaxed structure of U2PaOsC4.

Cell and atoms, written as POSCAR:
```
U2PaOsC4
1.0
1.707 -5.881 0.000
1.707 5.881 0.000
0.000 0.000 11.639
U Pa Os C
4 2 2 8
Cartesian
1.707 4.325 6.394 U
1.707 4.325 11.064 U
1.707 -4.325 0.575 U
1.707 -4.325 5.245 U
1.707 1.247 8.729 Pa
1.707 -1.247 2.910 Pa
1.707 1.786 2.910 Os
1.707 -1.786 8.729 Os
1.707 5.338 8.729 C
1.707 3.218 1.452 C
1.707 3.218 4.368 C
1.707 0.000 0.000 C
1.707 0.000 5.819 C
1.707 -3.218 7.271 C
1.707 -3.218 10.187 C
1.707 -5.338 2.910 C
```

* ΔH_f (0 K): -113 meV/atom
* magnetization: 0.000 μB per formula unit
* final energy: -10.1374 eV per atom
* D(E_F): 13.681 states/eV per cell
* symmetry: Cmcm, No. 63